[1]
{
  "formula": "TePbCl2",
  "functional": "PBE",
  "state": "optimized geometry",
  "energy_ha_per_atom": -0.1073,
  "e_form_raw_ev_per_atom": -0.283,
  "lattice_angstrom": [[-4.3389, 1.2401, -1.5915], [0.2018, -3.4889, -3.2686], [-1.9197, -2.8983, 2.9751]],
  "species": ["Te", "Pb", "Cl", "Cl"],
  "frac_coords": [[0.0000, 0.5000, 0.5000], [0.5000, 0.0000, 0.5000], [0.5000, 0.5000, 0.0000], [0.0000, 0.0000, 0.0000]]
}

***

[2]
{
  "formula": "TePbCl2",
  "functional": "PBE",
  "state": "optimized geometry",
  "energy_ha_per_atom": -0.1139,
  "e_form_raw_ev_per_atom": -0.463,
  "lattice_angstrom": [[-5.3836, 2.2241, 0.6982], [0.5998, -4.4956, 2.0385], [-0.8748, 1.7038, 4.5626]],
  "species": ["Cl", "Cl", "Te", "Pb"],
  "frac_coords": [[0.0000, 0.5000, 0.5000], [0.0000, 0.0000, 0.0000], [0.5000, 0.0000, 0.5000], [0.5000, 0.5000, 0.0000]]
}

***

[3]
{
  "formula": "TePb2Cl",
  "functional": "PBE",
  "state": "optimized geometry",
  "energy_ha_per_atom": -0.1298,
  "e_form_raw_ev_per_atom": -0.431,
  "lattice_angstrom": [[-0.6092, -4.7692, 4.2454], [-0.2893, -2.8824, -3.2793], [4.7466, -0.5490, 0.0631]],
  "species": ["Pb", "Pb", "Te", "Cl"],
  "frac_coords": [[0.5000, 0.3749, 0.3696], [0.0000, 0.8747, 0.8805], [0.0000, 0.3747, 0.3839], [0.5000, 0.8757, 0.8660]]
}

***

[4]
{
  "formula": "Te2Pb2Cl",
  "functional": "PBE",
  "state": "optimized geometry",
  "energy_ha_per_atom": -0.1237,
  "e_form_raw_ev_per_atom": -0.257,
  "lattice_angstrom": [[8.9157, 0.0000, 0.0000], [0.0000, 8.9157, 0.0000], [0.0000, 0.0000, 3.9965]],
  "species": ["Te", "Te", "Te", "Te", "Cl", "Cl", "Pb", "Pb", "Pb", "Pb"],
  "frac_coords": [[0.3615, 0.8615, 0.0000], [0.1385, 0.3615, 0.0000], [0.6385, 0.1385, 0.0000], [0.8615, 0.6385, 0.0000], [0.0000, 0.0000, 0.0000], [0.5000, 0.5000, 0.0000], [0.1571, 0.6571, 0.5000], [0.6571, 0.8429, 0.5000], [0.8429, 0.3429, 0.5000], [0.3429, 0.1571, 0.5000]]
}

***

Number 1: mass density 6430 kg/m3, total magnetization 0.000 μB/atom, offset from the most stable computed form 0.281 eV per atom. Number 2: mass density 5756 kg/m3, total magnetization 0.000 μB/atom, offset from the most stable computed form 0.100 eV per atom. Number 3: mass density 7150 kg/m3, total magnetization 0.000 μB/atom, offset from the most stable computed form 0.053 eV per atom. Number 4: mass density 7371 kg/m3, total magnetization 0.000 μB/atom, offset from the most stable computed form 0.161 eV per atom.